No. 1
DFT (GGA-PBE) results for a relaxed ZrVSb6 crystal.

Lattice parameters (Å, degrees): 5.096 7.737 7.674 59.73 72.95 54.44
Site moments in Bohr magnetons follow the coordinates.
Element x y z (fractional)
Zr 0.000 0.000 0.000  -0.13
V 0.500 0.500 0.000  1.61
Sb 0.741 0.449 0.620  -0.01
Sb 0.741 0.069 0.380  -0.01
Sb 0.259 0.931 0.620  -0.01
Sb 0.259 0.551 0.380  -0.01
Sb 0.756 0.739 0.000  -0.04
Sb 0.244 0.261 0.000  -0.04

Output
ΔE_f (raw), eV per atom: -0.026
Calculated density, g cm⁻³: 6.8

***

No. 2
DFT (GGA-PBE) results for a relaxed TiCrAu2 crystal.

Lattice parameters (Å, degrees): 4.585 4.585 4.585 60.00 60.00 60.00
Site moments in Bohr magnetons follow the coordinates.
Element x y z (fractional)
Cr 0.500 0.500 0.500  3.53
Au 0.250 0.250 0.250  0.08
Au 0.750 0.750 0.750  0.08
Ti 0.000 0.000 0.000  0.44

Output
Energy above the most stable polymorph in this dataset, eV/f.u.: 0.000
Calculated density, g cm⁻³: 12.0
Calculated formation energy, kJ/mol of atoms: -9.8

***

What total moment values result from the calculations? In sequence: 0.18 1.16 μB/atom.
What DFT total energy values result from the calculations? In sequence: -5.326 -6.120 eV per atom.